(1)
# TaBe2Sb (GGA-PBE, relaxed)
# space-group type	No. 216
# D(E_F)	0.698	states/eV/atom
# raw formation energy	0.840	eV/atom
data_TaBe2Sb
_cell_length_a 4.4999
_cell_length_b 4.4999
_cell_length_c 4.4999
_cell_angle_alpha 60.00
_cell_angle_beta 60.00
_cell_angle_gamma 60.00
_space_group_name_H-M_alt 'P 1'
_space_group_IT_number 1
_space_group_name_Hall 'P 1'
loop_
_atom_site_label
_atom_site_type_symbol
_atom_site_fract_x
_atom_site_fract_y
_atom_site_fract_z
Sb1 Sb 0.5000 0.5000 0.5000
Be1 Be 0.0000 0.0000 0.0000
Be2 Be 0.2500 0.2500 0.2500
Ta1 Ta 0.7500 0.7500 0.7500


(2)
# BaZr2TaIr (GGA-PBE, relaxed)
# space-group type	No. 123
# D(E_F)	1.310	states/eV/atom
# DFT formation energy	37	kJ per mole of atoms
data_BaZr2TaIr
_cell_length_a 5.2242
_cell_length_b 5.0563
_cell_length_c 5.2242
_cell_angle_alpha 90.00
_cell_angle_beta 90.00
_cell_angle_gamma 90.00
_space_group_name_H-M_alt 'P 1'
_space_group_IT_number 1
_space_group_name_Hall 'P 1'
loop_
_atom_site_label
_atom_site_type_symbol
_atom_site_fract_x
_atom_site_fract_y
_atom_site_fract_z
Ir1 Ir 0.0000 0.0000 0.0000
Ba1 Ba 0.5000 0.5000 0.5000
Zr1 Zr 0.0000 0.0000 0.5000
Zr2 Zr 0.5000 0.0000 0.0000
Ta1 Ta 0.0000 0.5000 0.0000


(3)
# Ta2V2Fe (GGA-PBE, relaxed)
# space-group type	No. 65
# D(E_F)	1.143	states/eV/atom
# E above lowest polymorph	8.5	meV/atom
# DFT formation energy	19	kJ per mole of atoms
data_Ta2V2Fe
_cell_length_a 3.0233
_cell_length_b 3.2282
_cell_length_c 7.9391
_cell_angle_alpha 78.27
_cell_angle_beta 90.00
_cell_angle_gamma 90.00
_space_group_name_H-M_alt 'P 1'
_space_group_IT_number 1
_space_group_name_Hall 'P 1'
loop_
_atom_site_label
_atom_site_type_symbol
_atom_site_fract_x
_atom_site_fract_y
_atom_site_fract_z
Ta1 Ta 0.5000 0.4011 0.1978
Ta2 Ta 0.5000 0.5989 0.8022
V1 V 0.0000 0.1966 0.6069
V2 V 0.0000 0.8034 0.3931
Fe1 Fe 0.0000 0.0000 0.0000


(4)
# Zn3WCl (GGA-PBE, relaxed)
# space-group type	No. 221
# D(E_F)	0.772	states/eV/atom
# E above lowest polymorph	423.6	meV/atom
# raw formation energy	1.437	eV/atom
data_Zn3WCl
_cell_length_a 4.5733
_cell_length_b 4.5733
_cell_length_c 4.5733
_cell_angle_alpha 90.00
_cell_angle_beta 90.00
_cell_angle_gamma 90.00
_space_group_name_H-M_alt 'P 1'
_space_group_IT_number 1
_space_group_name_Hall 'P 1'
loop_
_atom_site_label
_atom_site_type_symbol
_atom_site_fract_x
_atom_site_fract_y
_atom_site_fract_z
Zn1 Zn 0.0000 0.5000 0.0000
Zn2 Zn 0.0000 0.0000 0.5000
Zn3 Zn 0.5000 0.0000 0.0000
W1 W 0.5000 0.5000 0.5000
Cl1 Cl 0.0000 0.0000 0.0000


(5)
# Ca4CrSb (GGA-PBE, relaxed)
# space-group type	No. 216
# D(E_F)	0.972	states/eV/atom
# raw formation energy	0.452	eV/atom
data_Ca4CrSb
_cell_length_a 6.5889
_cell_length_b 6.5889
_cell_length_c 6.5889
_cell_angle_alpha 60.00
_cell_angle_beta 60.00
_cell_angle_gamma 60.00
_space_group_name_H-M_alt 'P 1'
_space_group_IT_number 1
_space_group_name_Hall 'P 1'
loop_
_atom_site_label
_atom_site_type_symbol
_atom_site_fract_x
_atom_site_fract_y
_atom_site_fract_z
Ca1 Ca 0.8765 0.3745 0.3745
Ca2 Ca 0.3745 0.3745 0.8765
Ca3 Ca 0.3745 0.8765 0.3745
Ca4 Ca 0.3745 0.3745 0.3745
Cr1 Cr 0.7500 0.7500 0.7500
Sb1 Sb 0.0000 0.0000 0.0000


(6)
# Ce3TmTh4Se8 (GGA-PBE, relaxed)
# space-group type	No. 166
# D(E_F)	1.317	states/eV/atom
# raw formation energy	-1.663	eV/atom
data_Ce3TmTh4Se8
_cell_length_a 8.2392
_cell_length_b 8.4745
_cell_length_c 8.2375
_cell_angle_alpha 119.07
_cell_angle_beta 120.01
_cell_angle_gamma 90.00
_space_group_name_H-M_alt 'P 1'
_space_group_IT_number 1
_space_group_name_Hall 'P 1'
loop_
_atom_site_label
_atom_site_type_symbol
_atom_site_fract_x
_atom_site_fract_y
_atom_site_fract_z
Ce1 Ce 0.5000 0.5000 0.0000
Ce2 Ce 0.5000 0.5000 0.5000
Ce3 Ce 0.0000 0.5000 0.5000
Tm1 Tm 0.0000 0.5000 0.0000
Th1 Th 0.5000 0.0000 0.0000
Th2 Th 0.5000 0.0000 0.5000
Th3 Th 0.0000 0.0000 0.0000
Th4 Th 0.0000 0.0000 0.5000
Se1 Se 0.2429 0.7405 0.9976
Se2 Se 0.2429 0.7405 0.4858
Se3 Se 0.2514 0.2542 0.5027
Se4 Se 0.7547 0.7405 0.9976
Se5 Se 0.2453 0.2595 0.0024
Se6 Se 0.7486 0.7458 0.4973
Se7 Se 0.7571 0.2595 0.5142
Se8 Se 0.7571 0.2595 0.0024


Question: What is the D(E_F) in the first record?
Answer: 0.698 states/eV/atom